Li2OsCl2: relaxed, PBE-GGA.

```
data_Li2OsCl2
_chemical_formula_sum 'Li4 Os2 Cl4'
_symmetry_space_group_name_H-M 'P 4/m b m'
_symmetry_Int_Tables_number 127
_symmetry_space_group_name_Hall '-P 4 2ab'
_cell_length_a 7.449
_cell_length_b 7.449
_cell_length_c 3.071
_cell_angle_alpha 90.00
_cell_angle_beta 90.00
_cell_angle_gamma 90.00
loop_
_atom_site_label
_atom_site_type_symbol
_atom_site_fract_x
_atom_site_fract_y
_atom_site_fract_z
Li1 Li 0.149 0.351 0.000
Os1 Os 0.000 0.000 0.000
Cl1 Cl 0.159 0.659 0.500
```

Calculated values
ρ	5.4	g/cm³
ΔE_f (raw)	0.067	eV/atom
volume	17.04	A^3/atom
total moment	6.08	Bohr magnetons per cell
calculated total energy	-3.683	eV/atom
DOS(E_F)	6.1	states/eV per cell

***

CrSiOs2S: relaxed, PBE-GGA.

```
data_CrSiOs2S
_chemical_formula_sum 'Cr1 Si1 Os2 S1'
_symmetry_space_group_name_H-M 'P 4/m m m'
_symmetry_Int_Tables_number 123
_symmetry_space_group_name_Hall '-P 4 2'
_cell_length_a 4.441
_cell_length_b 4.441
_cell_length_c 4.308
_cell_angle_alpha 90.00
_cell_angle_beta 90.00
_cell_angle_gamma 90.00
loop_
_atom_site_label
_atom_site_type_symbol
_atom_site_fract_x
_atom_site_fract_y
_atom_site_fract_z
Cr1 Cr 0.000 0.000 0.000
Si1 Si 0.500 0.500 0.500
Os1 Os 0.000 0.500 0.500
S1 S 0.500 0.500 0.000
```

Calculated values
ρ	9.6	g/cm³
ΔE_f (raw)	1.705	eV/atom
volume	16.99	A^3/atom
total moment	0.05	Bohr magnetons per cell
calculated total energy	-6.621	eV/atom
DOS(E_F)	8.4	states/eV per cell